VASP calculation (PBE) on an optimized crystal structure of BaTl2Sn2Se4.

Geometry as CIF:
```
data_BaTl2Sn2Se4
_chemical_formula_sum 'Ba2 Tl4 Sn4 Se8'
_cell_length_a 18.7973
_cell_length_b 4.2899
_cell_length_c 8.4357
_cell_angle_alpha 90.00
_cell_angle_beta 116.60
_cell_angle_gamma 90.00
_symmetry_space_group_name_H-M 'C 1 2/m 1'
_symmetry_Int_Tables_number 12
_symmetry_space_group_name_Hall '-C 2y'
loop_
_atom_site_label
_atom_site_fract_x
_atom_site_fract_y
_atom_site_fract_z
Ba1 0.0000 0.0000 0.0000
Tl1 0.1126 0.0000 0.5800
Sn1 0.2043 0.5000 0.0814
Se1 0.0617 0.5000 0.7915
Se2 0.1886 0.0000 0.2720
```

Calculated values
**Uncorrected energy**: -70.49 eV per cell
**ΔE_f (raw)**: -6.6 eV per formula unit

VASP calculation (PBE) on an optimized crystal structure of Ba2TmSnSe5.

Geometry as CIF:
```
data_Ba2TmSnSe5
_chemical_formula_sum 'Ba8 Tm4 Sn4 Se20'
_cell_length_a 4.4494
_cell_length_b 18.7767
_cell_length_c 13.3918
_cell_angle_alpha 90.00
_cell_angle_beta 90.00
_cell_angle_gamma 90.00
_symmetry_space_group_name_H-M 'C m c 21'
_symmetry_Int_Tables_number 36
_symmetry_space_group_name_Hall 'C 2c -2'
loop_
_atom_site_label
_atom_site_fract_x
_atom_site_fract_y
_atom_site_fract_z
Ba1 0.0000 0.1151 0.0000
Ba2 0.0000 0.1354 0.6299
Tm1 0.0000 0.2118 0.3391
Sn1 0.0000 0.4538 0.7676
Se1 0.0000 0.0548 0.3810
Se2 0.0000 0.2875 0.9742
Se3 0.0000 0.3155 0.6959
Se4 0.0000 0.3574 0.3182
Se5 0.0000 0.4939 0.0844
```

Calculated values
**Uncorrected energy**: -174.09 eV per cell
**ΔE_f (raw)**: -13.8 eV per formula unit

VASP calculation (PBE) on an optimized crystal structure of Ba2USnSe6.

Geometry as CIF:
```
data_Ba2USnSe6
_chemical_formula_sum 'Ba4 U2 Sn2 Se12'
_cell_length_a 7.4312
_cell_length_b 7.9339
_cell_length_c 13.0523
_cell_angle_alpha 90.00
_cell_angle_beta 124.18
_cell_angle_gamma 90.00
_symmetry_space_group_name_H-M 'P 1 21/c 1'
_symmetry_Int_Tables_number 14
_symmetry_space_group_name_Hall '-P 2ybc'
loop_
_atom_site_label
_atom_site_fract_x
_atom_site_fract_y
_atom_site_fract_z
Ba1 0.2216 0.0804 0.2484
U1 0.5000 0.0000 0.0000
Sn1 0.0000 0.0000 0.5000
Se1 0.1553 0.1854 0.9533
Se2 0.2701 0.7079 0.9498
Se3 0.3566 0.0202 0.7596
```

Calculated values
**Uncorrected energy**: -106.59 eV per cell
**ΔE_f (raw)**: -13.3 eV per formula unit

VASP calculation (PBE) on an optimized crystal structure of Ba2VSnSe.

Geometry as CIF:
```
data_Ba2VSnSe
_chemical_formula_sum 'Ba2 V1 Sn1 Se1'
_cell_length_a 6.3166
_cell_length_b 6.3166
_cell_length_c 4.7737
_cell_angle_alpha 90.00
_cell_angle_beta 90.00
_cell_angle_gamma 90.00
_symmetry_space_group_name_H-M 'P 4/m m m'
_symmetry_Int_Tables_number 123
_symmetry_space_group_name_Hall '-P 4 2'
loop_
_atom_site_label
_atom_site_fract_x
_atom_site_fract_y
_atom_site_fract_z
Ba1 0.0000 0.5000 0.0000
V1 0.0000 0.0000 0.5000
Sn1 0.5000 0.5000 0.5000
Se1 0.0000 0.0000 0.0000
```

Calculated values
**Uncorrected energy**: -22.53 eV per cell
**ΔE_f (raw)**: -2.1 eV per formula unit

VASP calculation (PBE) on an optimized crystal structure of BaSr2Se2.

Geometry as CIF:
```
data_BaSr2Se2
_chemical_formula_sum 'Ba2 Sr4 Se4'
_cell_length_a 4.9570
_cell_length_b 4.9570
_cell_length_c 14.6731
_cell_angle_alpha 90.00
_cell_angle_beta 90.00
_cell_angle_gamma 90.00
_symmetry_space_group_name_H-M 'I 4/m m m'
_symmetry_Int_Tables_number 139
_symmetry_space_group_name_Hall '-I 4 2'
loop_
_atom_site_label
_atom_site_fract_x
_atom_site_fract_y
_atom_site_fract_z
Ba1 0.0000 0.0000 0.0000
Sr1 0.0000 0.5000 0.2500
Se1 0.0000 0.0000 0.3798
```

Calculated values
**Uncorrected energy**: -36.69 eV per cell
**ΔE_f (raw)**: -6.1 eV per formula unit

VASP calculation (PBE) on an optimized crystal structure of BaSr2Se.

Geometry as CIF:
```
data_BaSr2Se
_chemical_formula_sum 'Ba1 Sr2 Se1'
_cell_length_a 3.9610
_cell_length_b 3.9610
_cell_length_c 10.7883
_cell_angle_alpha 90.00
_cell_angle_beta 90.00
_cell_angle_gamma 90.00
_symmetry_space_group_name_H-M 'P 4/m m m'
_symmetry_Int_Tables_number 123
_symmetry_space_group_name_Hall '-P 4 2'
loop_
_atom_site_label
_atom_site_fract_x
_atom_site_fract_y
_atom_site_fract_z
Ba1 0.0000 0.0000 0.0000
Sr1 0.5000 0.5000 0.3303
Se1 0.0000 0.0000 0.5000
```

Calculated values
**Uncorrected energy**: -12.17 eV per cell
**ΔE_f (raw)**: -3.4 eV per formula unit

VASP calculation (PBE) on an optimized crystal structure of BaSr2Se.

Geometry as CIF:
```
data_BaSr2Se
_chemical_formula_sum 'Ba4 Sr8 Se4'
_cell_length_a 8.7587
_cell_length_b 8.7587
_cell_length_c 8.7587
_cell_angle_alpha 90.00
_cell_angle_beta 90.00
_cell_angle_gamma 90.00
_symmetry_space_group_name_H-M 'F -4 3 m'
_symmetry_Int_Tables_number 216
_symmetry_space_group_name_Hall 'F -4 2 3'
loop_
_atom_site_label
_atom_site_fract_x
_atom_site_fract_y
_atom_site_fract_z
Ba1 0.0000 0.0000 0.0000
Sr1 0.0000 0.0000 0.5000
Sr2 0.2500 0.2500 0.7500
Se1 0.2500 0.2500 0.2500
```

Calculated values
**Uncorrected energy**: -39.89 eV per cell
**ΔE_f (raw)**: -1.2 eV per formula unit

VASP calculation (PBE) on an optimized crystal structure of BaSr2Se.

Geometry as CIF:
```
data_BaSr2Se
_chemical_formula_sum 'Ba4 Sr8 Se4'
_cell_length_a 8.7374
_cell_length_b 8.7374
_cell_length_c 8.7374
_cell_angle_alpha 90.00
_cell_angle_beta 90.00
_cell_angle_gamma 90.00
_symmetry_space_group_name_H-M 'F m -3 m'
_symmetry_Int_Tables_number 225
_symmetry_space_group_name_Hall '-F 4 2 3'
loop_
_atom_site_label
_atom_site_fract_x
_atom_site_fract_y
_atom_site_fract_z
Ba1 0.0000 0.0000 0.0000
Sr1 0.2500 0.2500 0.2500
Se1 0.0000 0.0000 0.5000
```

Calculated values
**Uncorrected energy**: -37.99 eV per cell
**ΔE_f (raw)**: -0.7 eV per formula unit

VASP calculation (PBE) on an optimized crystal structure of Ba3SrSe4.

Geometry as CIF:
```
data_Ba3SrSe4
_chemical_formula_sum 'Ba6 Sr2 Se8'
_cell_length_a 9.3278
_cell_length_b 13.1893
_cell_length_c 4.6618
_cell_angle_alpha 90.00
_cell_angle_beta 90.00
_cell_angle_gamma 90.00
_symmetry_space_group_name_H-M 'C m m m'
_symmetry_Int_Tables_number 65
_symmetry_space_group_name_Hall '-C 2 2'
loop_
_atom_site_label
_atom_site_fract_x
_atom_site_fract_y
_atom_site_fract_z
Ba1 0.0000 0.0000 0.0000
Ba2 0.2500 0.2500 0.5000
Sr1 0.0000 0.5000 0.0000
Se1 0.0000 0.2548 0.0000
Se2 0.2411 0.5000 0.5000
```

Calculated values
**Uncorrected energy**: -75.48 eV per cell
**ΔE_f (raw)**: -16.4 eV per formula unit

VASP calculation (PBE) on an optimized crystal structure of BaSr4Se5.

Geometry as CIF:
```
data_BaSr4Se5
_chemical_formula_sum 'Ba2 Sr8 Se10'
_cell_length_a 14.9600
_cell_length_b 4.5078
_cell_length_c 11.0558
_cell_angle_alpha 90.00
_cell_angle_beta 119.49
_cell_angle_gamma 90.00
_symmetry_space_group_name_H-M 'C 1 2/m 1'
_symmetry_Int_Tables_number 12
_symmetry_space_group_name_Hall '-C 2y'
loop_
_atom_site_label
_atom_site_fract_x
_atom_site_fract_y
_atom_site_fract_z
Ba1 0.0000 0.0000 0.0000
Sr1 0.0988 0.5000 0.4011
Sr2 0.2005 0.0000 0.7964
Se1 0.0000 0.0000 0.5000
Se2 0.1052 0.5000 0.8949
Se3 0.2029 0.0000 0.3075
```

Calculated values
**Uncorrected energy**: -93.30 eV per cell
**ΔE_f (raw)**: -20.6 eV per formula unit

VASP calculation (PBE) on an optimized crystal structure of BaSr2Se2.

Geometry as CIF:
```
data_BaSr2Se2
_chemical_formula_sum 'Ba1 Sr2 Se2'
_cell_length_a 6.1306
_cell_length_b 6.1306
_cell_length_c 6.4184
_cell_angle_alpha 90.00
_cell_angle_beta 90.00
_cell_angle_gamma 90.00
_symmetry_space_group_name_H-M 'P 4/m m m'
_symmetry_Int_Tables_number 123
_symmetry_space_group_name_Hall '-P 4 2'
loop_
_atom_site_label
_atom_site_fract_x
_atom_site_fract_y
_atom_site_fract_z
Ba1 0.0000 0.0000 0.0000
Sr1 0.0000 0.0000 0.5000
Sr2 0.5000 0.5000 0.5000
Se1 0.0000 0.5000 0.0000
```

Calculated values
**Uncorrected energy**: -13.81 eV per cell
**ΔE_f (raw)**: -1.6 eV per formula unit

VASP calculation (PBE) on an optimized crystal structure of BaSr4Se.

Geometry as CIF:
```
data_BaSr4Se
_chemical_formula_sum 'Ba4 Sr16 Se4'
_cell_length_a 10.7600
_cell_length_b 10.7600
_cell_length_c 10.7600
_cell_angle_alpha 90.00
_cell_angle_beta 90.00
_cell_angle_gamma 90.00
_symmetry_space_group_name_H-M 'F -4 3 m'
_symmetry_Int_Tables_number 216
_symmetry_space_group_name_Hall 'F -4 2 3'
loop_
_atom_site_label
_atom_site_fract_x
_atom_site_fract_y
_atom_site_fract_z
Ba1 0.0000 0.0000 0.0000
Sr1 0.1251 0.1251 0.3749
Se1 0.2500 0.2500 0.7500
```

Calculated values
**Uncorrected energy**: -46.51 eV per cell
**ΔE_f (raw)**: 0.5 eV per formula unit